1.
# LiMgBr

A relaxed structure of LiMgBr (PBE, the Alexandria database).

Results
formation energy without anion corrections: -0.63 eV/atom
energy: -2.359 eV/atom
distance to the lowest polymorph of the same formula: 0.54 eV/f.u.

Cell lengths 6.9859, 6.5557, 3.5990 Å; angles 81.31, 68.07, 30.62 degrees
With the nearest neighbours (Å) after each atom.
Fractional positions:
Br  0.9877  0.9877  0.0123  2 Li 2.56
Mg  0.6618  0.6618  0.3382  2 Br 2.89, 2 Li 3.03
Li  0.3505  0.3505  0.6495  2 Br 2.56

=====

2.
# Ho3Hf5H12

A relaxed structure of Ho3Hf5H12 (PBE, the Alexandria database).

Results
energy: -5.616 eV/atom

Cell lengths 10.5512, 10.5512, 10.5512 Å; angles 109.47, 109.47, 109.47 degrees
With the nearest neighbours (Å) after each atom.
Fractional positions:
H  0.2824  0.4254  0.8391  2 Hf 2.02, 1 Ho 2.17
H  0.0746  0.9136  0.3570  2 Hf 2.02, 1 Ho 2.17
H  0.3570  0.4136  0.0746  2 Hf 2.02, 1 Ho 2.17
H  0.9136  0.8391  0.5567  2 Hf 2.02, 1 Ho 2.17
H  0.4136  0.0567  0.3391  2 Hf 2.02, 1 Ho 2.17
H  0.4254  0.2824  0.3391  2 Hf 2.02, 1 Ho 2.17
H  0.3391  0.5567  0.4136  2 Hf 2.02, 1 Ho 2.17
H  0.0864  0.9254  0.1430  2 Hf 2.02, 1 Ho 2.17
H  0.5567  0.3391  0.9136  2 Hf 2.02, 1 Ho 2.17
H  0.9433  0.3570  0.2824  2 Hf 2.02, 1 Ho 2.17
H  0.2824  0.8570  0.9433  2 Hf 2.02, 1 Ho 2.17
H  0.5746  0.8570  0.4136  2 Hf 2.02, 1 Ho 2.17
H  0.7176  0.1430  0.0567  2 Hf 2.02, 1 Ho 2.17
H  0.7824  0.4433  0.3570  2 Hf 2.02, 1 Ho 2.17
H  0.8570  0.5746  0.9136  2 Hf 2.02, 1 Ho 2.17
H  0.8391  0.9254  0.2824  2 Hf 2.02, 1 Ho 2.17
H  0.8391  0.9136  0.0567  2 Hf 2.02, 1 Ho 2.17
H  0.5746  0.7176  0.6609  2 Hf 2.02, 1 Ho 2.17
H  0.0864  0.1609  0.4433  2 Hf 2.02, 1 Ho 2.17
H  0.0567  0.6430  0.7176  2 Hf 2.02, 1 Ho 2.17
H  0.4433  0.7824  0.8570  2 Hf 2.02, 1 Ho 2.17
H  0.1609  0.0746  0.7176  2 Hf 2.02, 1 Ho 2.17
H  0.5567  0.2176  0.1430  2 Hf 2.02, 1 Ho 2.17
H  0.6609  0.4433  0.5864  2 Hf 2.02, 1 Ho 2.17
H  0.6430  0.5864  0.9254  2 Hf 2.02, 1 Ho 2.17
H  0.1430  0.7176  0.5567  2 Hf 2.02, 1 Ho 2.17
H  0.4254  0.1430  0.5864  2 Hf 2.02, 1 Ho 2.17
H  0.2176  0.5567  0.6430  2 Hf 2.02, 1 Ho 2.17
H  0.5864  0.9433  0.6609  2 Hf 2.02, 1 Ho 2.17
H  0.2176  0.6609  0.0746  2 Hf 2.02, 1 Ho 2.17
H  0.6609  0.2176  0.5746  2 Hf 2.02, 1 Ho 2.17
H  0.0567  0.4136  0.8391  2 Hf 2.02, 1 Ho 2.17
H  0.3570  0.9433  0.7824  2 Hf 2.02, 1 Ho 2.17
H  0.4136  0.3570  0.5746  2 Hf 2.02, 1 Ho 2.17
H  0.9433  0.5864  0.1609  2 Hf 2.02, 1 Ho 2.17
H  0.4433  0.6609  0.0864  2 Hf 2.02, 1 Ho 2.17
H  0.1609  0.0864  0.9433  2 Hf 2.02, 1 Ho 2.17
H  0.9254  0.0864  0.6430  2 Hf 2.02, 1 Ho 2.17
H  0.0746  0.1609  0.2176  2 Hf 2.02, 1 Ho 2.17
H  0.7824  0.3391  0.9254  2 Hf 2.02, 1 Ho 2.17
H  0.6430  0.0567  0.2176  2 Hf 2.02, 1 Ho 2.17
H  0.3391  0.7824  0.4254  2 Hf 2.02, 1 Ho 2.17
H  0.9136  0.0746  0.8570  2 Hf 2.02, 1 Ho 2.17
H  0.8570  0.2824  0.4433  2 Hf 2.02, 1 Ho 2.17
H  0.9254  0.8391  0.7824  2 Hf 2.02, 1 Ho 2.17
H  0.1430  0.4254  0.0864  2 Hf 2.02, 1 Ho 2.17
H  0.5864  0.6430  0.4254  2 Hf 2.02, 1 Ho 2.17
H  0.7176  0.5746  0.1609  2 Hf 2.02, 1 Ho 2.17
Hf  0.2500  0.3750  0.6250  4 H 2.02
Hf  0.5000  0.0000  0.0000  6 H 2.02
Hf  0.8750  0.6250  0.7500  4 H 2.02
Hf  0.0000  0.0000  0.5000  6 H 2.02
Hf  0.0000  0.5000  0.0000  6 H 2.02
Hf  0.5000  0.0000  0.5000  6 H 2.02
Hf  0.1250  0.3750  0.2500  4 H 2.02
Hf  0.6250  0.8750  0.2500  4 H 2.02
Hf  0.3750  0.1250  0.7500  4 H 2.02
Hf  0.7500  0.6250  0.3750  4 H 2.02
Hf  0.1250  0.7500  0.3750  4 H 2.02
Hf  0.6250  0.7500  0.8750  4 H 2.02
Hf  0.2500  0.8750  0.1250  4 H 2.02
Hf  0.0000  0.0000  0.0000  6 H 2.02
Hf  0.3750  0.2500  0.1250  4 H 2.02
Hf  0.0000  0.5000  0.5000  6 H 2.02
Hf  0.7500  0.1250  0.8750  4 H 2.02
Hf  0.5000  0.5000  0.5000  6 H 2.02
Hf  0.8750  0.2500  0.6250  4 H 2.02
Hf  0.5000  0.5000  0.0000  6 H 2.02
Ho  0.8750  0.7500  0.1250  8 H 2.17-2.27
Ho  0.1250  0.2500  0.8750  8 H 2.17-2.27
Ho  0.3750  0.6250  0.2500  8 H 2.17-2.27
Ho  0.7500  0.3750  0.1250  8 H 2.17-2.27
Ho  0.6250  0.2500  0.3750  8 H 2.17-2.27
Ho  0.1250  0.8750  0.7500  8 H 2.17-2.27
Ho  0.2500  0.1250  0.3750  8 H 2.17-2.27
Ho  0.3750  0.7500  0.6250  8 H 2.17-2.27
Ho  0.7500  0.8750  0.6250  8 H 2.17-2.27
Ho  0.6250  0.3750  0.7500  8 H 2.17-2.27
Ho  0.8750  0.1250  0.2500  8 H 2.17-2.27
Ho  0.2500  0.6250  0.8750  8 H 2.17-2.27

=====

3.
# KPtW3

A relaxed structure of KPtW3 (PBE, the Alexandria database).

Results
energy: -6.948 eV/atom
formation energy from the elements: 2251 meV/atom
distance to the lowest polymorph of the same formula: 0.00 eV/f.u.

Cell lengths 4.9500, 4.9500, 4.9500 Å; angles 90.00, 90.00, 90.00 degrees
With the nearest neighbours (Å) after each atom.
Fractional positions:
W  0.5000  0.0000  0.0000  2 Pt 2.47
W  0.0000  0.0000  0.5000  2 Pt 2.47
W  0.0000  0.5000  0.0000  2 Pt 2.47
K  0.5000  0.5000  0.5000  12 W 3.50
Pt  0.0000  0.0000  0.0000  6 W 2.47

=====

4.
# CaScTe

A relaxed structure of CaScTe (PBE, the Alexandria database).

Results
formation energy without anion corrections: -0.68 eV/atom
energy: -4.506 eV/atom
distance to the lowest polymorph of the same formula: 0.58 eV/f.u.

Cell lengths 4.0146, 4.0146, 6.7841 Å; angles 90.00, 90.00, 120.00 degrees
With the nearest neighbours (Å) after each atom.
Fractional positions:
Ca  0.0000  0.0000  0.9661  3 Te 3.18
Te  0.3333  0.6667  0.6454  3 Sc 2.90, 3 Ca 3.18
Sc  0.6667  0.3333  0.3886  3 Te 2.90

=====

5.
# TbEr2Al2Zn2

A relaxed structure of TbEr2Al2Zn2 (PBE, the Alexandria database).

Results
energy: -3.706 eV/atom
formation energy from the elements: -308 meV/atom

Cell lengths 4.5026, 4.5026, 9.3377 Å; angles 76.05, 76.05, 60.00 degrees
With the nearest neighbours (Å) after each atom.
Fractional positions:
Al  0.7379  0.7379  0.7864  3 Zn 2.60
Al  0.2621  0.2621  0.2136  3 Zn 2.60
Zn  0.4002  0.4002  0.7994  3 Al 2.60
Zn  0.5998  0.5998  0.2006  3 Al 2.60
Tb  0.0000  0.0000  0.0000  6 Zn 3.16, 6 Al 3.23, 2 Er 3.44
Er  0.1279  0.1279  0.6162  3 Al 3.01, 3 Zn 3.08, 3 Er 3.33
Er  0.8721  0.8721  0.3838  3 Al 3.01, 3 Zn 3.08, 3 Er 3.33

=====

6.
# MoSeS2Cl

A relaxed structure of MoSeS2Cl (PBE, the Alexandria database).

Results
formation energy without anion corrections: 0.94 eV/atom
energy: -3.945 eV/atom
distance to the lowest polymorph of the same formula: 3.59 eV/f.u.

Cell lengths 4.9028, 4.9028, 4.7095 Å; angles 90.00, 90.00, 90.00 degrees
With the nearest neighbours (Å) after each atom.
Fractional positions:
S  0.0000  0.5000  0.0000  2 Se 2.45
S  0.5000  0.0000  0.0000  2 Se 2.45
Mo  0.5000  0.5000  0.5000  8 S 3.40, 4 Cl 3.47
Cl  0.0000  0.0000  0.5000  2 Se 2.35
Se  0.0000  0.0000  0.0000  2 Cl 2.35, 4 S 2.45